(1)
This record from the Alexandria database describes crystalline TaFeGe at its relaxed geometry. The functional is GGA-PBE.

## Properties
Mass density, g/cm³: 11.9

Cell lengths 6.5148, 6.5148, 3.5367 Å; angles 90.00, 90.00, 120.00 degrees
With the nearest neighbours (Å) after each atom.
Positions (direct):
Ta (0.0000, 0.4103, 0.0000)  5 Ge 2.65-2.67, 6 Fe 2.82-2.93
Ta (0.4103, 0.0000, 0.0000)  5 Ge 2.65-2.67, 6 Fe 2.82-2.93
Ta (0.5897, 0.5897, 0.0000)  5 Ge 2.65-2.67, 6 Fe 2.82-2.93
Fe (0.0000, 0.7468, 0.5000)  4 Ge 2.42-2.47
Fe (0.2532, 0.2532, 0.5000)  4 Ge 2.42-2.47
Fe (0.7468, 0.0000, 0.5000)  4 Ge 2.42-2.47
Ge (0.0000, 0.0000, 0.0000)  6 Fe 2.42, 3 Ta 2.67
Ge (0.3333, 0.6667, 0.5000)  3 Fe 2.47, 6 Ta 2.65
Ge (0.6667, 0.3333, 0.5000)  3 Fe 2.47, 6 Ta 2.65



(2)
This record from the Alexandria database describes crystalline TaFe2Ge2 at its relaxed geometry. The functional is GGA-PBE.

## Properties
Mass density, g/cm³: 10.7

Cell lengths 6.9954, 6.9954, 2.7656 Å; angles 90.00, 90.00, 90.00 degrees
With the nearest neighbours (Å) after each atom.
Positions (direct):
Ta (0.0000, 0.0000, 0.0000)  4 Ge 2.68, 2 Ta 2.77
Ta (0.5000, 0.5000, 0.0000)  4 Ge 2.68, 2 Ta 2.77
Fe (0.1492, 0.3508, 0.5000)  6 Ge 2.46-2.48
Fe (0.3508, 0.8508, 0.5000)  6 Ge 2.46-2.48
Fe (0.6492, 0.1492, 0.5000)  6 Ge 2.46-2.48
Fe (0.8508, 0.6492, 0.5000)  6 Ge 2.46-2.48
Ge (0.1453, 0.6453, 0.0000)  6 Fe 2.46-2.48, 2 Ta 2.68
Ge (0.3547, 0.1453, 0.0000)  6 Fe 2.46-2.48, 2 Ta 2.68
Ge (0.6453, 0.8547, 0.0000)  6 Fe 2.46-2.48, 2 Ta 2.68
Ge (0.8547, 0.3547, 0.0000)  6 Fe 2.46-2.48, 2 Ta 2.68



(3)
This record from the Alexandria database describes crystalline Ta2FeGe4 at its relaxed geometry. The functional is GGA-PBE.

## Properties
Mass density, g/cm³: 10.0
E above lowest polymorph, eV per atom: 0.0000

Cell lengths 7.4952, 7.4952, 5.8285 Å; angles 112.19, 112.19, 22.82 degrees
With the nearest neighbours (Å) after each atom.
Positions (direct):
Ta (0.2491, 0.2491, 0.2514)  6 Ge 2.66-2.77, 2 Ta 2.97
Ta (0.7509, 0.7509, 0.7486)  6 Ge 2.66-2.77, 2 Ta 2.97
Fe (0.0000, 0.0000, 0.0000)  6 Ge 2.33-2.37
Ge (0.1054, 0.1054, 0.7857)  1 Fe 2.33
Ge (0.3995, 0.3995, 0.6894)  2 Fe 2.37
Ge (0.6005, 0.6005, 0.3106)  2 Fe 2.37
Ge (0.8946, 0.8946, 0.2143)  1 Fe 2.33



(4)
This record from the Alexandria database describes crystalline Ta2FeGe4 at its relaxed geometry. The functional is GGA-PBE.

## Properties
Mass density, g/cm³: 8.8
E above lowest polymorph, eV per atom: 0.5552

Cell lengths 7.1256, 7.1256, 7.1256 Å; angles 142.36, 142.36, 54.28 degrees
With the nearest neighbours (Å) after each atom.
Positions (direct):
Ta (0.1076, 0.1076, 0.0000)  5 Ge 2.62-2.67, 1 Ta 2.73
Ta (0.8924, 0.8924, 0.0000)  5 Ge 2.62-2.67, 1 Ta 2.73
Fe (0.5000, 0.5000, 0.0000)  6 Ge 2.30-2.35
Ge (0.0000, 0.5000, 0.5000)  2 Fe 2.30
Ge (0.3144, 0.3144, 0.0000)  1 Fe 2.35, 1 Ta 2.62
Ge (0.5000, 0.0000, 0.5000)  2 Fe 2.30
Ge (0.6856, 0.6856, 0.0000)  1 Fe 2.35, 1 Ta 2.62



(5)
This record from the Alexandria database describes crystalline TaFe2Ge at its relaxed geometry. The functional is GGA-PBE.

## Properties
Mass density, g/cm³: 9.7

Cell lengths 5.7200, 5.7200, 5.7200 Å; angles 152.17, 133.87, 54.73 degrees
With the nearest neighbours (Å) after each atom.
Positions (direct):
Ta (0.0000, 0.0000, 0.0000)  4 Ge 2.63, 2 Fe 2.69, 2 Ta 2.75
Fe (0.2648, 0.2648, 0.0000)  1 Ge 2.39, 4 Fe 2.65
Fe (0.7352, 0.7352, 0.0000)  1 Ge 2.39, 4 Fe 2.65
Ge (0.5000, 0.5000, 0.0000)  2 Fe 2.39, 4 Ta 2.63



(6)
This record from the Alexandria database describes crystalline TaFeGe2 at its relaxed geometry. The functional is GGA-PBE.

## Properties
Mass density, g/cm³: 10.5

Cell lengths 4.4081, 4.4081, 4.4081 Å; angles 60.00, 60.00, 60.00 degrees
With the nearest neighbours (Å) after each atom.
Positions (direct):
Ta (0.0000, 0.0000, 0.0000)  8 Ge 2.70
Fe (0.5000, 0.5000, 0.5000)  8 Ge 2.70
Ge (0.2500, 0.2500, 0.2500)  4 Ta 2.70, 4 Fe 2.70
Ge (0.7500, 0.7500, 0.7500)  4 Ta 2.70, 4 Fe 2.70



(7)
This record from the Alexandria database describes crystalline Ta3FeGe2 at its relaxed geometry. The functional is GGA-PBE.

## Properties
Mass density, g/cm³: 12.6

Cell lengths 10.5766, 3.6934, 10.0515 Å; angles 90.00, 90.00, 90.00 degrees
With the nearest neighbours (Å) after each atom.
Positions (direct):
Ta (0.0642, 0.2500, 0.1085)  5 Ge 2.63-2.78, 1 Fe 2.70
Ta (0.1241, 0.7500, 0.5451)  3 Fe 2.54-2.64, 4 Ge 2.73-2.82
Ta (0.2447, 0.7500, 0.2572)  2 Fe 2.59, 2 Ge 2.65-2.72
Ta (0.2553, 0.2500, 0.7572)  2 Fe 2.59, 2 Ge 2.65-2.72
Ta (0.3759, 0.2500, 0.0451)  3 Fe 2.54-2.64, 4 Ge 2.73-2.82
Ta (0.4358, 0.7500, 0.6085)  5 Ge 2.63-2.78, 1 Fe 2.70
Ta (0.5642, 0.2500, 0.3915)  5 Ge 2.63-2.78, 1 Fe 2.70
Ta (0.6241, 0.7500, 0.9549)  3 Fe 2.54-2.64, 4 Ge 2.73-2.82
Ta (0.7447, 0.7500, 0.2428)  2 Fe 2.59, 2 Ge 2.65-2.72
Ta (0.7553, 0.2500, 0.7428)  2 Fe 2.59, 2 Ge 2.65-2.72
Ta (0.8759, 0.2500, 0.4549)  3 Fe 2.54-2.64, 4 Ge 2.73-2.82
Ta (0.9358, 0.7500, 0.8915)  5 Ge 2.63-2.78, 1 Fe 2.70
Fe (0.1124, 0.2500, 0.3723)  3 Ge 2.36-2.39, 5 Ta 2.54-2.64
Fe (0.3876, 0.7500, 0.8723)  3 Ge 2.36-2.39, 5 Ta 2.54-2.64
Fe (0.6124, 0.2500, 0.1277)  3 Ge 2.36-2.39, 5 Ta 2.54-2.64
Fe (0.8876, 0.7500, 0.6277)  3 Ge 2.36-2.39, 5 Ta 2.54-2.64
Ge (0.0099, 0.2500, 0.7058)  2 Fe 2.39, 1 Ta 2.65
Ge (0.1864, 0.7500, 0.9735)  1 Fe 2.36, 2 Ta 2.63
Ge (0.3136, 0.2500, 0.4735)  1 Fe 2.36, 2 Ta 2.63
Ge (0.4901, 0.7500, 0.2058)  2 Fe 2.39, 1 Ta 2.65
Ge (0.5099, 0.2500, 0.7942)  2 Fe 2.39, 1 Ta 2.65
Ge (0.6864, 0.7500, 0.5265)  1 Fe 2.36, 2 Ta 2.63
Ge (0.8136, 0.2500, 0.0265)  1 Fe 2.36, 2 Ta 2.63
Ge (0.9901, 0.7500, 0.2942)  2 Fe 2.39, 1 Ta 2.65



(8)
This record from the Alexandria database describes crystalline TaFeGe at its relaxed geometry. The functional is GGA-PBE.

## Properties
Mass density, g/cm³: 11.7

Cell lengths 5.0376, 5.0376, 6.2464 Å; angles 125.15, 125.15, 45.11 degrees
With the nearest neighbours (Å) after each atom.
Positions (direct):
Ta (0.0577, 0.0577, 0.3079)  5 Ge 2.64-2.82, 4 Fe 2.74-2.83
Ta (0.9423, 0.9423, 0.6921)  5 Ge 2.64-2.82, 4 Fe 2.74-2.83
Fe (0.3499, 0.3499, 0.9205)  1 Fe 2.31, 3 Ge 2.35-2.39
Fe (0.6501, 0.6501, 0.0795)  1 Fe 2.31, 3 Ge 2.35-2.39
Ge (0.3323, 0.3323, 0.2862)  3 Fe 2.35-2.39, 1 Ge 2.55
Ge (0.6677, 0.6677, 0.7138)  3 Fe 2.35-2.39, 1 Ge 2.55



(9)
This record from the Alexandria database describes crystalline Ta2FeGe2 at its relaxed geometry. The functional is GGA-PBE.

## Properties
Mass density, g/cm³: 10.9

Cell lengths 6.9732, 6.9732, 3.5427 Å; angles 90.00, 90.00, 90.00 degrees
With the nearest neighbours (Å) after each atom.
Positions (direct):
Ta (0.1481, 0.3519, 0.0000)  6 Ge 2.64-2.75, 2 Fe 2.66, 1 Ta 2.92
Ta (0.3519, 0.8519, 0.0000)  6 Ge 2.64-2.75, 2 Fe 2.66, 1 Ta 2.92
Ta (0.6481, 0.1481, 0.0000)  6 Ge 2.64-2.75, 2 Fe 2.66, 1 Ta 2.92
Ta (0.8519, 0.6481, 0.0000)  6 Ge 2.64-2.75, 2 Fe 2.66, 1 Ta 2.92
Fe (0.0000, 0.0000, 0.0000)  4 Ta 2.66
Fe (0.5000, 0.5000, 0.0000)  4 Ta 2.66
Ge (0.1531, 0.6531, 0.5000)  6 Ta 2.64-2.75
Ge (0.3469, 0.1531, 0.5000)  6 Ta 2.64-2.75
Ge (0.6531, 0.8469, 0.5000)  6 Ta 2.64-2.75
Ge (0.8469, 0.3469, 0.5000)  6 Ta 2.64-2.75



(10)
This record from the Alexandria database describes crystalline Ta3FeGe at its relaxed geometry. The functional is GGA-PBE.

## Properties
Mass density, g/cm³: 11.7

Cell lengths 4.5694, 4.5694, 4.5694 Å; angles 90.00, 90.00, 90.00 degrees
With the nearest neighbours (Å) after each atom.
Positions (direct):
Ta (0.0000, 0.0000, 0.5000)  2 Fe 2.28
Ta (0.0000, 0.5000, 0.0000)  2 Fe 2.28
Ta (0.5000, 0.0000, 0.0000)  2 Fe 2.28
Fe (0.0000, 0.0000, 0.0000)  6 Ta 2.28
Ge (0.5000, 0.5000, 0.5000)  12 Ta 3.23



(11)
This record from the Alexandria database describes crystalline TaFe2Ge at its relaxed geometry. The functional is GGA-PBE.

## Properties
Mass density, g/cm³: 11.6

Cell lengths 4.0134, 4.0134, 3.2412 Å; angles 90.00, 90.00, 90.00 degrees
With the nearest neighbours (Å) after each atom.
Positions (direct):
Ta (0.0000, 0.0000, 0.0000)  8 Fe 2.58, 4 Ge 2.84
Fe (0.0000, 0.5000, 0.5000)  4 Ge 2.58, 4 Ta 2.58, 4 Fe 2.84
Fe (0.5000, 0.0000, 0.5000)  4 Ge 2.58, 4 Ta 2.58, 4 Fe 2.84
Ge (0.5000, 0.5000, 0.0000)  8 Fe 2.58, 4 Ta 2.84



(12)
This record from the Alexandria database describes crystalline Ta12FeGe6 at its relaxed geometry. The functional is GGA-PBE.

## Properties
Mass density, g/cm³: 12.4

Cell lengths 7.2192, 7.2192, 7.2192 Å; angles 100.05, 100.05, 100.05 degrees
With the nearest neighbours (Å) after each atom.
Positions (direct):
Ta (0.0112, 0.0765, 0.3300)  1 Fe 2.33, 1 Ge 2.56
Ta (0.0765, 0.3300, 0.0112)  1 Fe 2.33, 1 Ge 2.56
Ta (0.1928, 0.5251, 0.4078)  4 Ge 2.61-2.78, 1 Ta 2.87
Ta (0.3300, 0.0112, 0.0765)  1 Fe 2.33, 1 Ge 2.56
Ta (0.4078, 0.1928, 0.5251)  4 Ge 2.61-2.78, 1 Ta 2.87
Ta (0.4749, 0.5922, 0.8072)  4 Ge 2.61-2.78, 1 Ta 2.87
Ta (0.5251, 0.4078, 0.1928)  4 Ge 2.61-2.78, 1 Ta 2.87
Ta (0.5922, 0.8072, 0.4749)  4 Ge 2.61-2.78, 1 Ta 2.87
Ta (0.6700, 0.9888, 0.9235)  1 Fe 2.33, 1 Ge 2.56
Ta (0.8072, 0.4749, 0.5922)  4 Ge 2.61-2.78, 1 Ta 2.87
Ta (0.9235, 0.6700, 0.9888)  1 Fe 2.33, 1 Ge 2.56
Ta (0.9888, 0.9235, 0.6700)  1 Fe 2.33, 1 Ge 2.56
Fe (0.0000, 0.0000, 0.0000)  6 Ta 2.33
Ge (0.1267, 0.3284, 0.6684)  6 Ta 2.56-2.78
Ge (0.3284, 0.6684, 0.1267)  6 Ta 2.56-2.78
Ge (0.3316, 0.8733, 0.6716)  6 Ta 2.56-2.78
Ge (0.6684, 0.1267, 0.3284)  6 Ta 2.56-2.78
Ge (0.6716, 0.3316, 0.8733)  6 Ta 2.56-2.78
Ge (0.8733, 0.6716, 0.3316)  6 Ta 2.56-2.78



Number 1: energy of formation -286 meV per atom. Number 2: energy of formation -28 meV per atom. Number 3: energy of formation -26 meV per atom. Number 4: energy of formation 529 meV per atom. Number 5: energy of formation 399 meV per atom. Number 6: energy of formation 184 meV per atom. Number 7: energy of formation -168 meV per atom. Number 8: energy of formation -181 meV per atom. Number 9: energy of formation 261 meV per atom. Number 10: energy of formation 673 meV per atom. Number 11: energy of formation -158 meV per atom. Number 12: energy of formation 236 meV per atom.